Entry 1:
A plane-wave DFT calculation with GGA-PBE was carried out for a geometry-optimized CsHgPb2 structure.

```
4
Lattice="4.052 0.000 0.000 0.000 4.052 0.000 0.000 0.000 8.818" Properties=species:S:1:pos:R:3 pbc="T T T"
Pb 0.000 0.000 7.245
Pb 0.000 0.000 1.573
Cs 2.026 2.026 4.409
Hg 2.026 2.026 0.000
```

**Space group**: P4/mmm (123)
**Total magnetic moment**: 0.0 μB/f.u.
**DOS(E_F)**: 2.073 states/eV per cell
**ΔH_f (0 K)**: -51 meV per atom
**Raw total energy**: -2.19 eV/atom

***

Entry 2:
A plane-wave DFT calculation with GGA-PBE was carried out for a geometry-optimized CsHgPb structure.

```
6
Lattice="0.152 4.232 2.231 0.590 1.106 -7.261 -7.964 -1.702 3.792" Properties=species:S:1:pos:R:3 pbc="T T T"
Cs -1.722 2.523 1.274
Cs -4.726 1.925 -2.514
Hg -4.728 0.070 1.008
Hg -1.724 4.380 -2.249
Pb -6.472 2.795 1.093
Pb 0.018 1.657 -2.332
```

**Space group**: P-1 (2)
**Total magnetic moment**: 0.0 μB/f.u.
**DOS(E_F)**: 2.611 states/eV per cell
**ΔH_f (0 K)**: -198 meV per atom
**Energy relative to the lowest polymorph listed for this composition**: 14.3 meV/atom
**Raw total energy**: -1.82 eV/atom

***

Entry 3:
A plane-wave DFT calculation with GGA-PBE was carried out for a geometry-optimized CsHg3Pb3 structure.

```
14
Lattice="8.357 0.000 0.000 0.000 8.357 0.000 0.000 0.000 8.357" Properties=species:S:1:pos:R:3 pbc="T T T"
Pb 2.089 0.000 4.178
Pb 0.000 4.178 2.089
Pb 4.178 6.267 0.000
Pb 6.267 0.000 4.178
Pb 0.000 4.178 6.267
Pb 4.178 2.089 0.000
Cs 4.178 4.178 4.178
Cs 0.000 0.000 0.000
Hg 0.000 2.089 4.178
Hg 0.000 6.267 4.178
Hg 4.178 0.000 6.267
Hg 6.267 4.178 0.000
Hg 4.178 0.000 2.089
Hg 2.089 4.178 0.000
```

**Space group**: Pm-3n (223)
**Total magnetic moment**: 0.0 μB/f.u.
**DOS(E_F)**: 7.484 states/eV per cell
**ΔH_f (0 K)**: 27 meV per atom
**Raw total energy**: -1.81 eV/atom

***

Entry 4:
A plane-wave DFT calculation with GGA-PBE was carried out for a geometry-optimized Cs3Hg2Pb4 structure.

```
9
Lattice="5.490 -0.036 -0.143 2.694 7.129 -0.030 2.454 2.801 10.002" Properties=species:S:1:pos:R:3 pbc="T T T"
Cs 5.332 2.677 6.242
Cs 0.000 0.000 0.000
Cs 5.305 7.217 3.587
Hg 5.355 3.319 2.370
Hg 5.282 6.575 7.459
Pb 2.751 2.796 0.496
Pb 8.057 5.637 6.375
Pb 2.580 4.258 3.454
Pb 7.887 7.098 9.333
```

**Space group**: P-1 (2)
**Total magnetic moment**: 0.0 μB/f.u.
**DOS(E_F)**: 5.590 states/eV per cell
**ΔH_f (0 K)**: -122 meV per atom
**Raw total energy**: -2.12 eV/atom

***

Entry 5:
A plane-wave DFT calculation with GGA-PBE was carried out for a geometry-optimized Cs2HgPb structure.

```
4
Lattice="-1.797 4.396 4.605 -3.712 -1.915 5.130 2.635 -0.295 6.061" Properties=species:S:1:pos:R:3 pbc="T T T"
Pb -1.437 1.093 7.898
Cs -0.718 0.547 3.949
Cs -2.155 1.640 11.848
Hg 0.000 0.000 0.000
```

**Space group**: Fm-3m (225)
**Total magnetic moment**: 2.0 μB/f.u.
**DOS(E_F)**: 2.807 states/eV per cell
**ΔH_f (0 K)**: -34 meV per atom
**Raw total energy**: -1.46 eV/atom

***

Entry 6:
A plane-wave DFT calculation with GGA-PBE was carried out for a geometry-optimized Cs2Hg4Pb structure.

```
7
Lattice="-5.158 -1.845 2.664 -0.691 -4.265 -4.294 2.037 -9.228 4.517" Properties=species:S:1:pos:R:3 pbc="T T T"
Pb 0.000 0.000 0.000
Cs -1.650 -4.641 0.555
Cs -2.163 -10.697 2.331
Hg 0.327 -7.101 2.679
Hg -4.140 -8.237 0.207
Hg -0.346 -2.132 -2.147
Hg -2.579 -0.923 1.332
```

**Space group**: I4/mmm (139)
**Total magnetic moment**: 0.0 μB/f.u.
**DOS(E_F)**: 3.934 states/eV per cell
**ΔH_f (0 K)**: -131 meV per atom
**Raw total energy**: -1.08 eV/atom